VASP calculation (GGA-PBE) on a relaxed VCdGa2Rh crystal.

Computed properties:
* total magnetic moment: 2.728 μB/cell
* formation energy: 0.230 eV per atom
* SG: P4/mmm (123)

Lattice parameters (Å, degrees): 4.766 4.766 4.818 90.00 90.00 90.00
Atoms (fractional coordinates):
V 0.000 0.000 0.000
Cd 0.500 0.500 0.000
Ga 0.000 0.500 0.500
Ga 0.500 0.000 0.500
Rh 0.000 0.000 0.500

VASP calculation (GGA-PBE) on a relaxed Y2CdGa2Rh5 crystal.

Computed properties:
* total magnetic moment: 0.000 μB/cell
* formation energy: -0.696 eV per atom
* SG: P4/mbm (127)

Lattice parameters (Å, degrees): 9.855 9.855 3.601 90.00 90.00 90.00
Atoms (fractional coordinates):
Y 0.175 0.325 0.000
Y 0.325 0.825 0.000
Y 0.675 0.175 0.000
Y 0.825 0.675 0.000
Cd 0.000 0.000 0.000
Cd 0.500 0.500 0.000
Ga 0.124 0.624 0.000
Ga 0.376 0.124 0.000
Ga 0.624 0.876 0.000
Ga 0.876 0.376 0.000
Rh 0.000 0.500 0.500
Rh 0.069 0.791 0.500
Rh 0.209 0.069 0.500
Rh 0.291 0.569 0.500
Rh 0.431 0.291 0.500
Rh 0.500 0.000 0.500
Rh 0.569 0.709 0.500
Rh 0.709 0.431 0.500
Rh 0.791 0.931 0.500
Rh 0.931 0.209 0.500